Below is a geometry-optimized ThPt3 structure, with properties calculated at the GGA-PBE level.

Summary:
* formation enthalpy at 0 K: -1.093 eV per atom
* E_tot: -7.48 eV per atom
* crystal system: cubic

Structure (POSCAR):
```
ThPt3
1.0
4.2344 0.0000 0.0000
0.0000 4.2363 0.0000
0.0000 0.0000 4.2362
Pt Th
3 1
direct
0.0000 0.0000 0.0833 Pt
0.5000 0.5000 0.0833 Pt
0.0000 0.5000 0.5833 Pt
0.5000 0.0000 0.5833 Th
```